No. 1
An optimized crystal structure of La2Pr2SmCd. Source: Alexandria via LeMat-Bulk, functional GGA-PBE.

Results
Total magnetization: 0.01 μB per cell
Total energy: -4.13 eV/atom

Cell: 6.7227 10.2525 5.8638 Å, 90.00 90.00 90.00°
Space group Pnnm (No. 58)
Asymmetric unit:
La: 0.2046 0.1364 0.0000 x4
Pr: 0.2031 0.2962 0.5000 x4
Sm: 0.0000 0.5000 0.0000 x2
Cd: 0.0000 0.0000 0.5000 x2

No. 2
An optimized crystal structure of La4Pr2SmCd. Source: Alexandria via LeMat-Bulk, functional GGA-PBE.

Results
Total magnetization: 0.00 μB per cell
Total energy: -4.37 eV/atom

Cell: 5.9866 5.9866 7.6498 Å, 90.00 90.00 90.00°
Space group P4/mmm (No. 123)
Asymmetric unit:
La: 0.0000 0.5000 0.2281 x4
Pr: 0.0000 0.0000 0.0000 x1
Pr: 0.5000 0.5000 0.5000 x1
Sm: 0.0000 0.0000 0.5000 x1
Cd: 0.5000 0.5000 0.0000 x1

No. 3
An optimized crystal structure of LaPr4Sm2Cd. Source: Alexandria via LeMat-Bulk, functional GGA-PBE.

Results
Total magnetization: 0.00 μB per cell
Total energy: -4.08 eV/atom

Cell: 6.8773 11.9411 13.3208 Å, 90.00 90.00 90.00°
Space group Imma (No. 74)
Asymmetric unit:
La: 0.2500 0.2500 0.2500 x4
Pr: 0.0000 0.9997 0.2340 x8
Pr: 0.2383 0.2500 0.9999 x8
Sm: 0.0000 0.0000 0.5000 x4
Sm: 0.2500 0.2500 0.7500 x4
Cd: 0.0000 0.0000 0.0000 x4

No. 4
An optimized crystal structure of La2Pr3Sm6Cd. Source: Alexandria via LeMat-Bulk, functional GGA-PBE.

Results
Total magnetization: 0.00 μB per cell
Total energy: -4.46 eV/atom

Cell: 6.2682 10.8713 12.0365 Å, 90.00 100.19 90.00°
Space group C2/m (No. 12)
Asymmetric unit:
La: 0.0000 0.1671 0.0000 x4
Pr: 0.0000 0.0000 0.5000 x2
Pr: 0.0000 0.3326 0.5000 x4
Sm: 0.2448 0.3364 0.2470 x8
Sm: 0.2460 0.5000 0.7513 x4
Cd: 0.0000 0.5000 0.0000 x2

No. 5
An optimized crystal structure of La2Pr6Sm3Cd. Source: Alexandria via LeMat-Bulk, functional GGA-PBE.

Results
Total magnetization: 0.00 μB per cell
Total energy: -4.49 eV/atom

Cell: 6.3168 10.9457 12.0781 Å, 90.00 100.14 90.00°
Space group C2/m (No. 12)
Asymmetric unit:
La: 0.0000 0.1682 0.0000 x4
Pr: 0.2439 0.5000 0.7495 x4
Pr: 0.2463 0.3364 0.2496 x8
Sm: 0.0000 0.0000 0.5000 x2
Sm: 0.0000 0.3332 0.5000 x4
Cd: 0.0000 0.5000 0.0000 x2

No. 6
An optimized crystal structure of LaPr2Cd2Sn2. Source: Alexandria via LeMat-Bulk, functional GGA-PBE.

Results
Total magnetization: 0.00 μB per cell
Total energy: -3.85 eV/atom

Cell: 5.0205 5.0205 28.2066 Å, 90.00 90.00 120.00°
Space group R-3m (No. 166, hexagonal axes)
Asymmetric unit:
La: 0.0000 0.0000 0.0000 x3
Pr: 0.0000 0.0000 0.1325 x6
Cd: 0.0000 0.0000 0.4179 x6
Sn: 0.0000 0.0000 0.2669 x6

No. 7
An optimized crystal structure of SrLaPrCd. Source: Alexandria via LeMat-Bulk, functional GGA-PBE.

Results
Total magnetization: 0.00 μB per cell
Total energy: -3.05 eV/atom

Cell: 8.2097 8.2097 8.2097 Å, 90.00 90.00 90.00°
Space group F-43m (No. 216)
Asymmetric unit:
Sr: 0.0000 0.0000 0.0000 x4
La: 0.2500 0.2500 0.7500 x4
Pr: 0.2500 0.2500 0.2500 x4
Cd: 0.0000 0.0000 0.5000 x4

No. 8
An optimized crystal structure of La2PrCdTe5. Source: Alexandria via LeMat-Bulk, functional GGA-PBE.

Results
Total magnetization: 0.00 μB per cell
Energy relative to the elements, uncorrected: -1.268 eV/atom
Total energy: -4.74 eV/atom

Cell: 4.4796 19.4479 13.6190 Å, 90.00 90.00 90.00°
Space group Cmc2_1 (No. 36)
Asymmetric unit:
La: 0.0000 0.1162 0.0000 x4
La: 0.0000 0.1298 0.6240 x4
Pr: 0.0000 0.2001 0.3255 x4
Cd: 0.0000 0.4421 0.7731 x4
Te: 0.0000 0.0433 0.3944 x4
Te: 0.0000 0.2888 0.9915 x4
Te: 0.0000 0.3111 0.6560 x4
Te: 0.0000 0.3628 0.3165 x4
Te: 0.0000 0.4967 0.0892 x4

total magnetization of number 4 (La2Pr3Sm6Cd)?
0.00 μB per cell

Which of these has the highest total magnetization?
La2Pr2SmCd

What is the total energy in the fifth record?
-4.49 eV/atom

total magnetization of number 6 (LaPr2Cd2Sn2)?
0.00 μB per cell